(1)
This record from Alexandria via LeMat-Bulk describes crystalline Cd5Ag4Pt at its relaxed geometry. The functional is PBE.

Lattice parameters (Å, degrees): 9.040 9.040 5.249 90.00 90.00 90.00
Space group I4 (No. 79)
Asymmetric unit:
Cd 0.000 0.000 0.000
Cd 0.143 0.753 0.344
Ag 0.060 0.643 0.841
Pt 0.000 0.000 0.510

Properties
excess energy over the best structure of this formula in the dataset	159.9	meV per atom
ΔE_f	5.4	kJ per mole of atoms

***

(2)
This record from Alexandria via LeMat-Bulk describes crystalline Cd6Ag8Pt at its relaxed geometry. The functional is PBE.

Lattice parameters (Å, degrees): 7.4211 7.4211 18.4074 90.00 90.00 120.00
Space group R-3 (No. 148, hexagonal axes)
Asymmetric unit:
Cd 0.0521 0.2675 0.2207
Ag 0.0000 0.0000 0.3450
Ag 0.0360 0.2466 0.0613
Pt 0.0000 0.0000 0.5000

Properties
ΔE_f	-3.3	kJ per mole of atoms

***

(3)
This record from Alexandria via LeMat-Bulk describes crystalline CdAgPt2 at its relaxed geometry. The functional is PBE.

Lattice parameters (Å, degrees): 2.914 4.849 9.835 90.00 90.00 90.00
Space group Imm2 (No. 44)
Asymmetric unit:
Cd 0.000 0.000 0.000
Ag 0.000 0.500 0.235
Pt 0.000 0.000 0.483
Pt 0.000 0.500 0.747

Properties
ΔE_f	-8.0	kJ per mole of atoms